Ru3Rh | the Alexandria database | PBE | optimized geometry; formation enthalpy at 0 K = 118 meV/atom; density = 12.00 g/cm³; V = 14.05 Å³ per atom; spin magnetization = 0.00 μB per formula unit
1.0
1.358 0.784 8.793
-1.358 0.784 8.793
0.000 -1.568 8.793
Ru Rh
3 1
Direct
0.000 0.000 0.000 Ru
0.251 0.251 0.251 Ru
0.749 0.749 0.749 Ru
0.500 0.500 0.500 Rh

Rb2ZnMoI6 | the Alexandria database | PBE | optimized geometry; density = 4.56 g/cm³; energy relative to the elements, uncorrected = -0.633 eV/atom; V = 39.81 Å³ per atom; spin magnetization = 3.83 μB per formula unit
1.0
-4.115 4.115 5.879
4.115 -4.115 5.879
4.115 4.115 -5.879
Rb Zn Mo I
2 1 1 6
Direct
0.250 0.750 0.500 Rb
0.750 0.250 0.500 Rb
0.000 0.000 0.000 Zn
0.500 0.500 0.000 Mo
0.255 0.255 0.509 I
0.255 0.745 0.000 I
0.258 0.258 0.000 I
0.742 0.742 0.000 I
0.745 0.255 0.000 I
0.745 0.745 0.491 I